No. 1
{
  "formula": "SrAlP4",
  "functional": "PBE",
  "state": "relaxed",
  "lattice": [[3.791, -3.364, 2.192], [-1.181, -5.332, 0.815], [2.397, -3.868, -3.128]],
  "species": ["Al", "P", "P", "P", "P", "Sr"],
  "fractional_positions": [[0.000, 0.000, 0.000], [0.925, 0.358, 0.358], [0.358, 0.925, 0.358], [0.358, 0.358, 0.925], [0.358, 0.358, 0.358], [0.750, 0.750, 0.750]],
  "spacegroup": "F-43m",
  "magnetic_moment_mub_per_cell": 0.00,
  "formation_energy_ev_per_atom": 0.06
}

---

No. 2
{
  "formula": "SrAl3P",
  "functional": "PBE",
  "state": "relaxed",
  "lattice": [[-2.993, -4.425, -2.202], [4.554, -1.469, -3.239], [1.921, -3.413, 4.248]],
  "species": ["P", "Al", "Al", "Al", "Sr"],
  "fractional_positions": [[0.500, 0.500, 0.500], [0.000, 0.000, 0.500], [0.500, 0.000, 0.000], [0.000, 0.500, 0.000], [0.000, 0.000, 0.000]],
  "spacegroup": "Pm-3m",
  "magnetic_moment_mub_per_cell": 0.00,
  "formation_energy_ev_per_atom": 1.70
}

---

No. 3
{
  "formula": "SrAlP2",
  "functional": "PBE",
  "state": "relaxed",
  "lattice": [[6.274, 0.203, -0.216], [4.991, 3.806, -0.216], [0.724, 0.258, 3.802]],
  "species": ["Sr", "P", "P", "Al"],
  "fractional_positions": [[0.544, 0.544, 0.428], [0.751, 0.751, 0.809], [0.920, 0.920, 0.998], [0.285, 0.285, 0.264]],
  "spacegroup": "Cm",
  "magnetic_moment_mub_per_cell": 0.00,
  "formation_energy_ev_per_atom": -0.38
}

---

No. 4
{
  "formula": "Sr2AlP",
  "functional": "PBE",
  "state": "relaxed",
  "lattice": [[3.935, 0.000, 0.000], [0.000, 3.957, 0.013], [0.000, 3.935, 7.107]],
  "species": ["P", "Sr", "Sr", "Al"],
  "fractional_positions": [[0.500, 0.750, 0.750], [0.000, 0.470, 0.529], [0.000, 0.030, 0.971], [0.500, 0.250, 0.250]],
  "spacegroup": "Pmmm",
  "magnetic_moment_mub_per_cell": 0.00,
  "formation_energy_ev_per_atom": -0.46
}

---

No. 5
{
  "formula": "Sr2AlP",
  "functional": "PBE",
  "state": "relaxed",
  "lattice": [[-3.911, -1.733, -1.551], [2.301, -2.384, -3.139], [0.537, -4.876, 4.096]],
  "species": ["Al", "P", "Sr", "Sr"],
  "fractional_positions": [[0.000, 0.000, 0.378], [0.500, 0.500, 0.873], [0.000, 0.000, 0.877], [0.500, 0.500, 0.373]],
  "spacegroup": "Pmm2",
  "magnetic_moment_mub_per_cell": 0.54,
  "formation_energy_ev_per_atom": -0.13
}

---

No. 6
{
  "formula": "SrAlP2",
  "functional": "PBE",
  "state": "relaxed",
  "lattice": [[3.597, 0.000, 0.000], [0.000, 3.597, 0.000], [0.000, 0.000, 6.470]],
  "species": ["Sr", "P", "P", "Al"],
  "fractional_positions": [[0.000, 0.000, 0.483], [0.000, 0.000, 0.999], [0.500, 0.500, 0.189], [0.500, 0.500, 0.830]],
  "spacegroup": "P4mm",
  "magnetic_moment_mub_per_cell": 0.00,
  "formation_energy_ev_per_atom": -0.11
}

---

No. 7
{
  "formula": "Sr2AlP",
  "functional": "PBE",
  "state": "relaxed",
  "lattice": [[5.157, -0.005, 0.000], [-5.126, 6.643, 0.013], [0.000, 2.623, 3.249]],
  "species": ["Al", "P", "Sr", "Sr"],
  "fractional_positions": [[0.500, 0.500, 0.000], [0.500, 0.000, 0.500], [0.000, 0.500, 0.500], [0.000, 0.000, 0.000]],
  "spacegroup": "Cmmm",
  "magnetic_moment_mub_per_cell": 0.00,
  "formation_energy_ev_per_atom": -0.38
}

---

No. 8
{
  "formula": "SrAlP2",
  "functional": "PBE",
  "state": "relaxed",
  "lattice": [[3.595, 0.005, 0.000], [-0.020, 3.595, 0.000], [0.000, 0.000, 6.228]],
  "species": ["Al", "P", "P", "Sr"],
  "fractional_positions": [[0.500, 0.500, 0.750], [0.000, 0.000, 0.566], [0.000, 0.000, 0.934], [0.500, 0.500, 0.250]],
  "spacegroup": "Cmmm",
  "magnetic_moment_mub_per_cell": 0.00,
  "formation_energy_ev_per_atom": -0.29
}

---

No. 9
{
  "formula": "SrAl2P",
  "functional": "PBE",
  "state": "relaxed",
  "lattice": [[5.004, 0.000, 0.000], [2.502, 4.334, 0.000], [2.502, 1.445, 4.086]],
  "species": ["Sr", "Al", "Al", "P"],
  "fractional_positions": [[0.750, 0.750, 0.750], [0.250, 0.250, 0.250], [0.000, 0.000, 0.000], [0.500, 0.500, 0.500]],
  "spacegroup": "F-43m",
  "magnetic_moment_mub_per_cell": 0.00,
  "formation_energy_ev_per_atom": 0.05
}

---

No. 10
{
  "formula": "SrAl2P",
  "functional": "PBE",
  "state": "relaxed",
  "lattice": [[7.913, 0.000, 0.000], [0.000, 7.913, 0.000], [3.956, 3.956, 3.009]],
  "species": ["P", "P", "Al", "Al", "Al", "Al", "Sr", "Sr"],
  "fractional_positions": [[0.250, 0.750, 0.500], [0.500, 0.500, 0.000], [0.375, 0.445, 0.750], [0.195, 0.625, 0.250], [0.875, 0.805, 0.750], [0.555, 0.125, 0.250], [0.750, 0.250, 0.500], [0.000, 0.000, 0.000]],
  "spacegroup": "I-42d",
  "magnetic_moment_mub_per_cell": 0.00,
  "formation_energy_ev_per_atom": -0.26
}

---

No. 11
{
  "formula": "Sr2AlP",
  "functional": "PBE",
  "state": "relaxed",
  "lattice": [[-6.394, 4.425, -3.472], [1.223, -4.037, -7.398], [-4.916, -2.375, -4.418]],
  "species": ["P", "P", "Sr", "Sr", "Sr", "Sr", "Al", "Al"],
  "fractional_positions": [[0.750, 0.250, 0.500], [0.000, 0.000, 0.000], [0.082, 0.625, 0.250], [0.375, 0.332, 0.750], [0.668, 0.125, 0.250], [0.875, 0.918, 0.750], [0.500, 0.500, 0.000], [0.250, 0.750, 0.500]],
  "spacegroup": "I-42d",
  "magnetic_moment_mub_per_cell": 0.00,
  "formation_energy_ev_per_atom": -0.20
}

---

No. 12
{
  "formula": "SrAlP2",
  "functional": "PBE",
  "state": "relaxed",
  "lattice": [[-3.752, 5.897, -2.449], [-4.515, 5.324, 2.475], [6.127, -4.143, 0.391]],
  "species": ["P", "P", "Sr", "Al"],
  "fractional_positions": [[0.772, 0.272, 0.500], [0.076, 0.076, 0.000], [0.451, 0.451, 0.000], [0.201, 0.701, 0.500]],
  "spacegroup": "Imm2",
  "magnetic_moment_mub_per_cell": 0.00,
  "formation_energy_ev_per_atom": -0.31
}